## Ni2SnSb (PBE-GGA)

Data for Ni2SnSb after structural relaxation.

Structure (CIF):
```
data_Ni2SnSb
_chemical_formula_sum 'Ni8 Sn4 Sb4'
_symmetry_space_group_name_H-M 'P b c m'
_symmetry_Int_Tables_number 57
_symmetry_space_group_name_Hall '-P 2c 2b'
_cell_length_a 7.9697
_cell_length_b 6.8704
_cell_length_c 5.1173
_cell_angle_alpha 90.00
_cell_angle_beta 90.00
_cell_angle_gamma 90.00
loop_
_atom_site_label
_atom_site_type_symbol
_atom_site_fract_x
_atom_site_fract_y
_atom_site_fract_z
Ni1 Ni 0.1185 0.2500 0.0000
Ni2 Ni 0.3700 0.7500 0.0000
Sn1 Sn 0.3769 0.0881 0.2500
Sb1 Sb 0.1282 0.5802 0.2500
```

Calculated values
**Formation energy from raw total energies**: -0.27 eV per atom
**Mass density**: 8.48 g/cm³
**Density of states at the Fermi level**: 0.708 states/eV/atom
**E above lowest polymorph**: 0.00 eV per formula unit